First-principles (SCAN) data for a PBEsol-optimized structure of SrCaAl2, as listed in Alexandria.

Values from the calculation:
The energy of formation from the pure elements is -0.153 eV/atom. The density is 2.78 g cm⁻³.

Unit cell a=3.8310 b=3.8310 c=7.3804 alpha=90.00 beta=90.00 gamma=90.00
Space group P4/mmm (No. 123)
Unique sites:
Sr 0.0000 0.0000 0.0000 [1 per cell]
Ca 0.0000 0.0000 0.5000 [1 per cell]
Al 0.5000 0.5000 0.2878 [2 per cell]

=====

First-principles (SCAN) data for a PBEsol-optimized structure of Sr2CaAl2, as listed in Alexandria.

Values from the calculation:
The energy of formation from the pure elements is -0.118 eV/atom. The density is 2.71 g cm⁻³.

Unit cell a=8.7701 b=8.7701 c=4.2908 alpha=90.00 beta=90.00 gamma=90.00
Space group P4/mbm (No. 127)
Unique sites:
Sr 0.1790 0.3210 0.0000 [4 per cell]
Ca 0.0000 0.0000 0.5000 [2 per cell]
Al 0.1113 0.6113 0.5000 [4 per cell]

=====

First-principles (SCAN) data for a PBEsol-optimized structure of Sr2CaAl, as listed in Alexandria.

Values from the calculation:
The energy of formation from the pure elements is -0.048 eV/atom. The density is 2.67 g cm⁻³.

Unit cell a=3.9196 b=3.9196 c=9.8089 alpha=90.00 beta=90.00 gamma=90.00
Space group P4/mmm (No. 123)
Unique sites:
Sr 0.0000 0.0000 0.1943 [2 per cell]
Ca 0.5000 0.5000 0.5000 [1 per cell]
Al 0.5000 0.5000 0.0000 [1 per cell]

=====

First-principles (SCAN) data for a PBEsol-optimized structure of CaTaAl2, as listed in Alexandria.

Values from the calculation:
The value obtained for the energy above the lowest structure with this stoichiometry is 18.50 kcal/mol of atoms. The energy of formation from the pure elements is 0.711 eV/atom. The density is 4.71 g cm⁻³.

Unit cell a=4.5413 b=4.5413 c=18.7883 alpha=90.00 beta=90.00 gamma=90.00
Space group I-42d (No. 122)
Unique sites:
Ca 0.0000 0.0000 0.0000 [4 per cell]
Ta 0.0000 0.0000 0.5000 [4 per cell]
Al 0.1466 0.2500 0.6250 [8 per cell]

=====

First-principles (SCAN) data for a PBEsol-optimized structure of Ca2TaAl, as listed in Alexandria.

Values from the calculation:
The energy of formation from the pure elements is 0.529 eV/atom. The density is 5.21 g cm⁻³.

Unit cell a=5.9804 b=10.2440 c=2.9970 alpha=90.00 beta=90.55 gamma=90.00
Space group C2/m (No. 12)
Unique sites:
Ca 0.2500 0.2500 0.0000 [4 per cell]
Ta 0.0000 0.0000 0.5000 [2 per cell]
Al 0.0000 0.5000 0.5000 [2 per cell]

=====

First-principles (SCAN) data for a PBEsol-optimized structure of CaTaAl2, as listed in Alexandria.

Values from the calculation:
The value obtained for the energy above the lowest structure with this stoichiometry is 5.23 kcal/mol of atoms. The energy of formation from the pure elements is 0.135 eV/atom. The density is 5.58 g cm⁻³.

Unit cell a=9.3159 b=2.9012 c=6.0951 alpha=90.00 beta=96.20 gamma=90.00
Space group C2/m (No. 12)
Unique sites:
Ca 0.0000 0.0000 0.0000 [2 per cell]
Ta 0.0000 0.5000 0.5000 [2 per cell]
Al 0.2429 0.0000 0.6920 [4 per cell]

=====

First-principles (SCAN) data for a PBEsol-optimized structure of CaTaAl2, as listed in Alexandria.

Values from the calculation:
The value obtained for the energy above the lowest structure with this stoichiometry is 5.06 kcal/mol of atoms. The energy of formation from the pure elements is 0.128 eV/atom. The density is 6.11 g cm⁻³.

Unit cell a=5.0080 b=5.0080 c=2.9814 alpha=90.00 beta=90.00 gamma=90.00
Space group P4/mmm (No. 123)
Unique sites:
Ca 0.0000 0.0000 0.0000 [1 per cell]
Ta 0.5000 0.5000 0.0000 [1 per cell]
Al 0.0000 0.5000 0.5000 [2 per cell]

=====

First-principles (SCAN) data for a PBEsol-optimized structure of Ca2TaAl, as listed in Alexandria.

Values from the calculation:
The energy of formation from the pure elements is 0.525 eV/atom. The density is 5.34 g cm⁻³.

Unit cell a=4.2376 b=4.2376 c=9.9786 alpha=90.00 beta=90.00 gamma=90.00
Space group I4/mmm (No. 139)
Unique sites:
Ca 0.0000 0.5000 0.2500 [4 per cell]
Ta 0.0000 0.0000 0.0000 [2 per cell]
Al 0.0000 0.0000 0.5000 [2 per cell]

=====

First-principles (SCAN) data for a PBEsol-optimized structure of Ca2TaAl, as listed in Alexandria.

Values from the calculation:
The energy of formation from the pure elements is 0.435 eV/atom. The density is 4.91 g cm⁻³.

Unit cell a=4.8443 b=3.1970 c=12.5709 alpha=90.00 beta=90.00 gamma=90.00
Space group Amm2 (No. 38)
Unique sites:
Ca 0.0000 0.0000 0.0000 [2 per cell]
Ca 0.5000 0.0000 0.3278 [2 per cell]
Ta 0.0000 0.0000 0.7176 [2 per cell]
Al 0.5000 0.0000 0.6125 [2 per cell]

=====

First-principles (SCAN) data for a PBEsol-optimized structure of Ca2TaAl, as listed in Alexandria.

Values from the calculation:
The energy of formation from the pure elements is 0.428 eV/atom. The density is 4.92 g cm⁻³.

Unit cell a=3.2324 b=5.4282 c=11.0801 alpha=90.00 beta=90.00 gamma=90.00
Space group Imm2 (No. 44)
Unique sites:
Ca 0.0000 0.0000 0.0000 [2 per cell]
Ca 0.0000 0.5000 0.2089 [2 per cell]
Ta 0.0000 0.5000 0.7718 [2 per cell]
Al 0.0000 0.0000 0.4652 [2 per cell]

=====

First-principles (SCAN) data for a PBEsol-optimized structure of CaTaAl2, as listed in Alexandria.

Values from the calculation:
The value obtained for the energy above the lowest structure with this stoichiometry is 0.00 kcal/mol of atoms. The energy of formation from the pure elements is -0.091 eV/atom. The density is 5.89 g cm⁻³.

Unit cell a=2.9690 b=3.9175 c=6.6616 alpha=90.00 beta=90.00 gamma=90.00
Space group Pmmm (No. 47)
Unique sites:
Ca 0.0000 0.0000 0.0000 [1 per cell]
Ta 0.0000 0.0000 0.5000 [1 per cell]
Al 0.5000 0.5000 0.2949 [2 per cell]

=====

First-principles (SCAN) data for a PBEsol-optimized structure of Ca2TaAl, as listed in Alexandria.

Values from the calculation:
The energy of formation from the pure elements is 0.524 eV/atom. The density is 5.33 g cm⁻³.

Unit cell a=4.2831 b=4.2831 c=4.8915 alpha=90.00 beta=90.00 gamma=90.00
Space group P4/mmm (No. 123)
Unique sites:
Ca 0.0000 0.5000 0.0000 [2 per cell]
Ta 0.0000 0.0000 0.5000 [1 per cell]
Al 0.5000 0.5000 0.5000 [1 per cell]

=====

First-principles (SCAN) data for a PBEsol-optimized structure of CaAl2Tc, as listed in Alexandria.

Values from the calculation:
The value obtained for the energy above the lowest structure with this stoichiometry is 11.75 kcal/mol of atoms. The energy of formation from the pure elements is 0.194 eV/atom. The density is 4.55 g cm⁻³.

Unit cell a=3.8559 b=4.2313 c=4.2937 alpha=90.00 beta=90.00 gamma=90.00
Space group Pmmm (No. 47)
Unique sites:
Ca 0.0000 0.0000 0.0000 [1 per cell]
Al 0.0000 0.5000 0.5000 [1 per cell]
Al 0.5000 0.0000 0.5000 [1 per cell]
Tc 0.5000 0.5000 0.0000 [1 per cell]

=====

First-principles (SCAN) data for a PBEsol-optimized structure of CaAlTc2, as listed in Alexandria.

Values from the calculation:
The energy of formation from the pure elements is 0.385 eV/atom. The density is 6.73 g cm⁻³.

Unit cell a=2.8609 b=2.8609 c=27.4668 alpha=90.00 beta=90.00 gamma=120.00
Space group R-3m (No. 166, hexagonal axes)
Unique sites:
Ca 0.0000 0.0000 0.0000 [3 per cell]
Al 0.0000 0.0000 0.5000 [3 per cell]
Tc 0.0000 0.0000 0.2413 [6 per cell]

=====

First-principles (SCAN) data for a PBEsol-optimized structure of CaAl2Tc, as listed in Alexandria.

Values from the calculation:
The value obtained for the energy above the lowest structure with this stoichiometry is 0.00 kcal/mol of atoms. The energy of formation from the pure elements is -0.316 eV/atom. The density is 4.40 g cm⁻³.

Unit cell a=3.2360 b=3.2360 c=6.9149 alpha=90.00 beta=90.00 gamma=90.00
Space group P4/mmm (No. 123)
Unique sites:
Ca 0.0000 0.0000 0.0000 [1 per cell]
Al 0.5000 0.5000 0.3149 [2 per cell]
Tc 0.0000 0.0000 0.5000 [1 per cell]

=====

First-principles (SCAN) data for a PBEsol-optimized structure of CaAlTc2, as listed in Alexandria.

Values from the calculation:
The energy of formation from the pure elements is 0.456 eV/atom. The density is 6.66 g cm⁻³.

Unit cell a=3.8783 b=3.8783 c=4.3627 alpha=90.00 beta=90.00 gamma=90.00
Space group P4/mmm (No. 123)
Unique sites:
Ca 0.0000 0.0000 0.0000 [1 per cell]
Al 0.5000 0.5000 0.0000 [1 per cell]
Tc 0.0000 0.5000 0.5000 [2 per cell]

=====

First-principles (SCAN) data for a PBEsol-optimized structure of Ca4AlTc, as listed in Alexandria.

Values from the calculation:
The energy of formation from the pure elements is 0.971 eV/atom. The density is 3.09 g cm⁻³.

Unit cell a=8.4956 b=8.4956 c=8.4956 alpha=90.00 beta=90.00 gamma=90.00
Space group F-43m (No. 216)
Unique sites:
Ca 0.1242 0.1242 0.3758 [16 per cell]
Al 0.0000 0.0000 0.0000 [4 per cell]
Tc 0.2500 0.2500 0.7500 [4 per cell]

=====

First-principles (SCAN) data for a PBEsol-optimized structure of CaAl2Tc, as listed in Alexandria.

Values from the calculation:
The value obtained for the energy above the lowest structure with this stoichiometry is 16.10 kcal/mol of atoms. The energy of formation from the pure elements is 0.383 eV/atom. The density is 3.30 g cm⁻³.

Unit cell a=4.7498 b=4.7498 c=17.1314 alpha=90.00 beta=90.00 gamma=90.00
Space group I-42d (No. 122)
Unique sites:
Ca 0.0000 0.0000 0.0000 [4 per cell]
Al 0.0804 0.2500 0.6250 [8 per cell]
Tc 0.0000 0.0000 0.5000 [4 per cell]

=====

First-principles (SCAN) data for a PBEsol-optimized structure of CaAl2Tc, as listed in Alexandria.

Values from the calculation:
The value obtained for the energy above the lowest structure with this stoichiometry is 6.72 kcal/mol of atoms. The energy of formation from the pure elements is -0.024 eV/atom. The density is 4.68 g cm⁻³.

Unit cell a=4.2364 b=4.2364 c=7.5909 alpha=90.00 beta=90.00 gamma=90.00
Space group I4/mmm (No. 139)
Unique sites:
Ca 0.0000 0.0000 0.0000 [2 per cell]
Al 0.0000 0.5000 0.2500 [4 per cell]
Tc 0.0000 0.0000 0.5000 [2 per cell]

=====

First-principles (SCAN) data for a PBEsol-optimized structure of Ca2AlTcTe, as listed in Alexandria.

Values from the calculation:
As for the formation energy without anion corrections: 74.82 kJ per mole of atoms. The density is 3.33 g cm⁻³.

Unit cell a=5.6370 b=5.6370 c=5.2232 alpha=90.00 beta=90.00 gamma=90.00
Space group P4/mmm (No. 123)
Unique sites:
Ca 0.0000 0.5000 0.0000 [2 per cell]
Al 0.0000 0.0000 0.5000 [1 per cell]
Tc 0.5000 0.5000 0.5000 [1 per cell]
Te 0.0000 0.0000 0.0000 [1 per cell]

=====

First-principles (SCAN) data for a PBEsol-optimized structure of Ca2AlTl, as listed in Alexandria.

Values from the calculation:
The value obtained for the energy above the lowest structure with this stoichiometry is 9.19 kcal/mol of atoms. The energy of formation from the pure elements is -0.002 eV/atom. The density is 4.37 g cm⁻³.

Unit cell a=8.3583 b=8.3583 c=6.7812 alpha=90.00 beta=90.00 gamma=90.00
Space group I-42d (No. 122)
Unique sites:
Ca 0.2461 0.2500 0.1250 [8 per cell]
Al 0.0000 0.0000 0.0000 [4 per cell]
Tl 0.0000 0.0000 0.5000 [4 per cell]

=====

First-principles (SCAN) data for a PBEsol-optimized structure of Ca2AlTl, as listed in Alexandria.

Values from the calculation:
The value obtained for the energy above the lowest structure with this stoichiometry is 0.01 kcal/mol of atoms. The energy of formation from the pure elements is -0.400 eV/atom. The density is 4.93 g cm⁻³.

Unit cell a=7.4865 b=7.4865 c=7.4865 alpha=90.00 beta=90.00 gamma=90.00
Space group Fm-3m (No. 225)
Unique sites:
Ca 0.2500 0.2500 0.2500 [8 per cell]
Al 0.0000 0.0000 0.0000 [4 per cell]
Tl 0.0000 0.0000 0.5000 [4 per cell]

=====

First-principles (SCAN) data for a PBEsol-optimized structure of Ca2AlTl, as listed in Alexandria.

Values from the calculation:
The value obtained for the energy above the lowest structure with this stoichiometry is 5.63 kcal/mol of atoms. The energy of formation from the pure elements is -0.156 eV/atom. The density is 4.58 g cm⁻³.

Unit cell a=3.6204 b=3.6204 c=29.8394 alpha=90.00 beta=90.00 gamma=120.00
Space group R-3m (No. 166, hexagonal axes)
Unique sites:
Ca 0.0000 0.0000 0.2474 [6 per cell]
Al 0.0000 0.0000 0.5000 [3 per cell]
Tl 0.0000 0.0000 0.0000 [3 per cell]

=====

First-principles (SCAN) data for a PBEsol-optimized structure of Ca3AlTl, as listed in Alexandria.

Values from the calculation:
The energy of formation from the pure elements is 0.114 eV/atom. The density is 3.04 g cm⁻³.

Unit cell a=5.7681 b=5.7681 c=5.7681 alpha=90.00 beta=90.00 gamma=90.00
Space group Pm-3m (No. 221)
Unique sites:
Ca 0.0000 0.0000 0.5000 [3 per cell]
Al 0.0000 0.0000 0.0000 [1 per cell]
Tl 0.5000 0.5000 0.5000 [1 per cell]

=====

First-principles (SCAN) data for a PBEsol-optimized structure of Ca2AlTl, as listed in Alexandria.

Values from the calculation:
The value obtained for the energy above the lowest structure with this stoichiometry is 0.00 kcal/mol of atoms. The energy of formation from the pure elements is -0.400 eV/atom. The density is 4.93 g cm⁻³.

Unit cell a=5.3026 b=5.3026 c=3.7334 alpha=90.00 beta=90.00 gamma=90.00
Space group P4/mmm (No. 123)
Unique sites:
Ca 0.0000 0.5000 0.0000 [2 per cell]
Al 0.0000 0.0000 0.5000 [1 per cell]
Tl 0.5000 0.5000 0.5000 [1 per cell]

=====

First-principles (SCAN) data for a PBEsol-optimized structure of CaAlTl2, as listed in Alexandria.

Values from the calculation:
The energy of formation from the pure elements is -0.168 eV/atom. The density is 7.96 g cm⁻³.

Unit cell a=10.7560 b=4.4654 c=4.5482 alpha=90.00 beta=114.70 gamma=90.00
Space group Cm (No. 8)
Unique sites:
Ca 0.0000 0.0000 0.0000 [2 per cell]
Al 0.2500 0.5000 0.2503 [2 per cell]
Tl 0.2447 0.0000 0.7453 [2 per cell]
Tl 0.4892 0.0000 0.4886 [2 per cell]

=====

First-principles (SCAN) data for a PBEsol-optimized structure of Ca2AlTl, as listed in Alexandria.

Values from the calculation:
The value obtained for the energy above the lowest structure with this stoichiometry is 5.35 kcal/mol of atoms. The energy of formation from the pure elements is -0.168 eV/atom. The density is 4.52 g cm⁻³.

Unit cell a=3.6340 b=3.6340 c=8.6640 alpha=90.00 beta=90.00 gamma=90.00
Space group P4mm (No. 99)
Unique sites:
Ca 0.0000 0.0000 0.0000 [1 per cell]
Ca 0.5000 0.5000 0.3545 [1 per cell]
Al 0.5000 0.5000 0.7690 [1 per cell]
Tl 0.0000 0.0000 0.5949 [1 per cell]

=====

First-principles (SCAN) data for a PBEsol-optimized structure of CaAl2W, as listed in Alexandria.

Values from the calculation:
The value obtained for the energy above the lowest structure with this stoichiometry is 2.92 kcal/mol of atoms. The energy of formation from the pure elements is 0.321 eV/atom. The density is 6.56 g cm⁻³.

Unit cell a=5.9699 b=8.3820 c=2.8097 alpha=90.00 beta=90.00 gamma=90.00
Space group Cmmm (No. 65)
Unique sites:
Ca 0.0000 0.0000 0.0000 [2 per cell]
Al 0.2500 0.2500 0.5000 [4 per cell]
W 0.0000 0.5000 0.0000 [2 per cell]

=====

First-principles (SCAN) data for a PBEsol-optimized structure of CaAl2W, as listed in Alexandria.

Values from the calculation:
The value obtained for the energy above the lowest structure with this stoichiometry is 0.00 kcal/mol of atoms. The energy of formation from the pure elements is 0.195 eV/atom. The density is 6.12 g cm⁻³.

Unit cell a=9.1062 b=2.7903 c=5.9551 alpha=90.00 beta=95.25 gamma=90.00
Space group C2/m (No. 12)
Unique sites:
Ca 0.0000 0.0000 0.0000 [2 per cell]
Al 0.2401 0.0000 0.6942 [4 per cell]
W 0.0000 0.5000 0.5000 [2 per cell]